# 1
Entry from Alexandria via LeMat-Bulk: an optimized crystal structure of LiPmDyHg (PBE-GGA).

abc: 5.289 5.289 5.289
angles: 60.00 60.00 60.00
Site moments in Bohr magnetons follow the coordinates.
Fractional positions:
Hg  0.500  0.500  0.500  0.01
Dy  0.750  0.750  0.750  0.08
Pm  0.250  0.250  0.250  0.06
Li  0.000  0.000  0.000  0.01

Its electronic total energy is -3.10 eV per atom. For the formation energy, the calculation gives -0.20 eV/atom.

***

# 2
Entry from Alexandria via LeMat-Bulk: an optimized crystal structure of Ce4Bi3O4 (PBE-GGA).

abc: 6.821 6.821 6.821
angles: 109.47 109.47 109.47
Site moments in Bohr magnetons follow the coordinates.
Fractional positions:
O  0.257  0.000  0.000  -0.02
O  0.000  0.000  0.257  -0.02
O  0.743  0.743  0.743  -0.02
O  0.000  0.257  0.000  -0.02
Ce  0.000  0.000  0.676  0.25
Ce  0.324  0.324  0.324  0.25
Ce  0.000  0.676  0.000  0.25
Ce  0.676  0.000  0.000  0.25
Bi  0.500  0.000  0.500  -0.04
Bi  0.500  0.500  0.000  -0.04
Bi  0.000  0.500  0.500  -0.04

For the energy relative to the elements, uncorrected, the calculation gives -22.546 eV/f.u. Its electronic total energy is -7.07 eV per atom.

***

> Which formula does entry 1 have?

LiPmDyHg